Entry 1:
First-principles (PBE-GGA) data for a relaxed SmDyTlHg crystal, as listed in Alexandria.

The structure in POSCAR format:
```
SmDyTlHg
1.0
-1.079 -1.709 3.205
-3.104 -1.302 -1.739
3.794 -6.281 -2.071
Sm Dy Hg Tl
1 1 1 1
Direct
0.500 0.500 0.114 Sm
0.500 0.500 0.596 Dy
0.000 0.000 0.369 Hg
0.000 0.000 0.849 Tl
```

Computed properties:
Its formation enthalpy at 0 K is -0.420 eV per atom. As for the space group: No. 99. The energy above the lowest structure with this stoichiometry is 0 meV per atom. Its magnetization is 0.5 μB per cell.

***

Entry 2:
First-principles (PBE-GGA) data for a relaxed SmDyTm2Hg4 crystal, as listed in Alexandria.

The structure in POSCAR format:
```
SmDyTm2Hg4
1.0
5.258 0.000 0.000
2.629 4.553 0.000
2.629 1.518 8.600
Tm Dy Sm Hg
2 1 1 4
Direct
0.250 0.250 0.251 Tm
0.750 0.750 0.749 Tm
0.500 0.500 0.500 Dy
0.000 0.000 0.000 Sm
0.126 0.126 0.622 Hg
0.624 0.624 0.129 Hg
0.376 0.376 0.871 Hg
0.874 0.874 0.378 Hg
```

Computed properties:
Its formation enthalpy at 0 K is -0.472 eV per atom. As for the space group: No. 166. Its magnetization is 0.2 μB per cell.

***

Entry 3:
First-principles (PBE-GGA) data for a relaxed SmDyTmHg crystal, as listed in Alexandria.

The structure in POSCAR format:
```
SmDyTmHg
1.0
-5.327 -0.047 -0.990
-2.108 -3.740 -3.307
-3.095 -3.964 2.017
Sm Dy Hg Tm
1 1 1 1
Direct
0.500 0.500 0.500 Sm
0.000 0.000 0.000 Dy
0.250 0.250 0.250 Hg
0.750 0.750 0.750 Tm
```

Computed properties:
Its formation enthalpy at 0 K is -0.065 eV per atom. As for the space group: No. 216. Its magnetization is 0.0 μB per cell.

***

Entry 4:
First-principles (PBE-GGA) data for a relaxed SmDyYHg crystal, as listed in Alexandria.

The structure in POSCAR format:
```
SmDyYHg
1.0
5.444 0.000 0.000
2.722 4.715 0.000
2.722 1.572 4.445
Y Hg Dy Sm
1 1 1 1
Direct
0.000 0.000 0.000 Y
0.750 0.750 0.750 Hg
0.250 0.250 0.250 Dy
0.500 0.500 0.500 Sm
```

Computed properties:
Its formation enthalpy at 0 K is -0.059 eV per atom. As for the space group: No. 216. Its magnetization is 0.0 μB per cell.

***

Entry 5:
First-principles (PBE-GGA) data for a relaxed Dy4Sn3Hg crystal, as listed in Alexandria.

The structure in POSCAR format:
```
Dy4Sn3Hg
1.0
-3.441 -1.149 -2.558
2.158 -3.529 -1.319
-4.459 -5.972 8.680
Dy Sn Hg
4 3 1
Direct
0.000 0.000 0.134 Dy
0.500 0.000 0.636 Dy
0.500 0.500 0.362 Dy
0.000 0.500 0.863 Dy
0.000 0.000 0.407 Sn
0.500 0.000 0.913 Sn
0.000 0.500 0.593 Sn
0.500 0.500 0.092 Hg
```

Computed properties:
Its formation enthalpy at 0 K is -0.655 eV per atom. As for the space group: No. 25. Its magnetization is 0.0 μB per cell.

***

Entry 6:
First-principles (PBE-GGA) data for a relaxed Dy4SnHg5 crystal, as listed in Alexandria.

The structure in POSCAR format:
```
Dy4SnHg5
1.0
3.801 0.000 0.000
0.000 3.801 0.000
0.000 0.000 17.648
Hg Sn Dy
5 1 4
Direct
0.500 0.500 0.903 Hg
0.500 0.500 0.700 Hg
0.500 0.500 0.097 Hg
0.500 0.500 0.500 Hg
0.500 0.500 0.300 Hg
0.000 0.000 0.000 Sn
0.000 0.000 0.191 Dy
0.000 0.000 0.809 Dy
0.000 0.000 0.603 Dy
0.000 0.000 0.397 Dy
```

Computed properties:
Its formation enthalpy at 0 K is -0.408 eV per atom. As for the space group: No. 123. Its magnetization is 0.0 μB per cell.

***

Entry 7:
First-principles (PBE-GGA) data for a relaxed Dy4SnHg crystal, as listed in Alexandria.

The structure in POSCAR format:
```
Dy4SnHg
1.0
6.089 -0.001 -0.001
-0.001 7.377 0.539
-3.045 -2.386 8.000
Hg Dy Sn
2 8 2
Direct
0.500 0.000 0.500 Hg
0.000 0.500 0.500 Hg
0.693 0.441 0.147 Dy
0.033 0.111 0.299 Dy
0.454 0.941 0.147 Dy
0.266 0.611 0.299 Dy
0.546 0.059 0.853 Dy
0.967 0.889 0.701 Dy
0.734 0.389 0.701 Dy
0.307 0.559 0.853 Dy
0.872 0.750 0.000 Sn
0.128 0.250 0.000 Sn
```

Computed properties:
Its formation enthalpy at 0 K is -0.228 eV per atom. As for the space group: No. 15. Its magnetization is 0.0 μB per cell.

***

Entry 8:
First-principles (PBE-GGA) data for a relaxed Dy3SnHg2 crystal, as listed in Alexandria.

The structure in POSCAR format:
```
Dy3SnHg2
1.0
-0.793 3.524 0.840
-4.358 -1.584 2.529
6.355 0.117 5.510
Dy Sn Hg
3 1 2
Direct
0.500 0.166 0.332 Dy
0.500 0.500 0.000 Dy
0.500 0.834 0.668 Dy
0.000 0.000 0.000 Sn
0.000 0.675 0.349 Hg
0.000 0.325 0.651 Hg
```

Computed properties:
Its formation enthalpy at 0 K is -0.542 eV per atom. As for the space group: No. 65. The energy above the lowest structure with this stoichiometry is 0 meV per atom. Its magnetization is 0.0 μB per cell.

***

Please write out number 8 again, unchanged.
First-principles (PBE-GGA) data for a relaxed Dy3SnHg2 crystal, as listed in Alexandria.

The structure in POSCAR format:
```
Dy3SnHg2
1.0
-0.793 3.524 0.840
-4.358 -1.584 2.529
6.355 0.117 5.510
Dy Sn Hg
3 1 2
Direct
0.500 0.166 0.332 Dy
0.500 0.500 0.000 Dy
0.500 0.834 0.668 Dy
0.000 0.000 0.000 Sn
0.000 0.675 0.349 Hg
0.000 0.325 0.651 Hg
```

Computed properties:
Its formation enthalpy at 0 K is -0.542 eV per atom. As for the space group: No. 65. The energy above the lowest structure with this stoichiometry is 0 meV per atom. Its magnetization is 0.0 μB per cell.